Record 1
VASP calculation (PBE) on a geometry-optimized LiWAu2I structure.

The structure belongs to space group P4/mmm (No. 123); the cell edges are 5.396, 5.396 and 4.744 Å and the angles 90.00°, 90.00° and 90.00°. The distinct sites, in fractional coordinates, are Li at (0.000, 0.000, 0.000), W at (0.500, 0.500, 0.000), Au at (0.000, 0.500, 0.500) and I at (0.000, 0.000, 0.500).

The total moment is 4.60 μB per formula unit. For the uncorrected formation energy, the calculation gives 1482 meV/atom.

Record 2
VASP calculation (PBE) on a geometry-optimized Mg2Au2I structure.

The structure belongs to space group P4/mbm (No. 127); the cell edges are 7.958, 7.958 and 3.596 Å and the angles 90.00°, 90.00° and 90.00°. The distinct sites, in fractional coordinates, are Mg at (0.161, 0.339, 0.000), Au at (0.130, 0.630, 0.500) and I at (0.000, 0.000, 0.000).

The total moment is 0.00 μB per formula unit. For the uncorrected formation energy, the calculation gives -306 meV/atom. The energy relative to the lowest polymorph listed for this composition is 17.0 meV/atom.

Record 3
VASP calculation (PBE) on a geometry-optimized Mg2AuI structure.

The structure belongs to space group I-42d (No. 122); the cell edges are 7.639, 7.639 and 7.478 Å and the angles 90.00°, 90.00° and 90.00°. The distinct sites, in fractional coordinates, are Mg at (0.212, 0.250, 0.125), Au at (0.000, 0.000, 0.000) and I at (0.000, 0.000, 0.500).

The total moment is 0.00 μB per formula unit. For the uncorrected formation energy, the calculation gives -314 meV/atom. The energy relative to the lowest polymorph listed for this composition is 0.0 meV/atom.